LiMoF6: relaxed, PBE+U.

a = 5.1466 Å, b = 5.1466 Å, c = 9.5887 Å
α = 90.00°, β = 90.00°, γ = 120.00°
Closest atoms and distances in Å follow each position.
Atoms (fractional coordinates):
F 0.2790 0.3225 0.3817  1 Mo 1.93, 1 Li 2.08
F 0.9565 0.6775 0.8817  1 Mo 1.93, 1 Li 2.08
F 0.0435 0.3225 0.1183  1 Mo 1.93, 1 Li 2.08
F 0.0435 0.7210 0.3817  1 Mo 1.93, 1 Li 2.08
Mo 0.0000 0.0000 0.0000  6 F 1.93
Mo 0.0000 0.0000 0.5000  6 F 1.93
F 0.3225 0.2790 0.8817  1 Mo 1.93, 1 Li 2.08
Li 0.6667 0.3333 0.7500  6 F 2.08
F 0.3225 0.0435 0.6183  1 Mo 1.93, 1 Li 2.08
F 0.2790 0.9565 0.1183  1 Mo 1.93, 1 Li 2.08
F 0.6775 0.9565 0.3817  1 Mo 1.93, 1 Li 2.08
F 0.9565 0.2790 0.6183  1 Mo 1.93, 1 Li 2.08
F 0.6775 0.7210 0.1183  1 Mo 1.93, 1 Li 2.08
Li 0.3333 0.6667 0.2500  6 F 2.08
F 0.7210 0.6775 0.6183  1 Mo 1.93, 1 Li 2.08
F 0.7210 0.0435 0.8817  1 Mo 1.93, 1 Li 2.08

- magnetic moment (μB per formula unit) = 1.0
- total energy (eV per cell) = -80.8
- energy above the most stable polymorph in this dataset (meV per atom) = 75